(1)
A relaxed NaMnCuH2 crystal. Source: Alexandria, functional PBE-GGA.

Output
- VASP energy: -16.6 eV/cell

Lattice parameters (Å, degrees): 3.7121 3.7121 5.1996 90.00 90.00 90.00
Closest atoms and distances in Å follow each position.
Space group P4/mmm (No. 123)
One atom of each set of equivalent atoms:
Na 0.0000 0.0000 0.0000  2 Cu 2.60, 4 Mn 2.62
Mn 0.5000 0.5000 0.0000  4 Na 2.62
Cu 0.0000 0.0000 0.5000  4 H 1.86
H 0.0000 0.5000 0.5000  2 Cu 1.86

=====

(2)
A relaxed NaMnCuH4 crystal. Source: Alexandria, functional PBE-GGA.

Output
- VASP energy: -56.1 eV/cell

Lattice parameters (Å, degrees): 5.1524 4.4303 5.5638 90.00 98.96 90.00
Closest atoms and distances in Å follow each position.
Space group P2_1/m (No. 11)
One atom of each set of equivalent atoms:
Na 0.2270 0.2500 0.0727  7 H 2.31-2.41
Mn 0.1091 0.7500 0.4772  6 H 1.62-1.70
Cu 0.4022 0.2500 0.5838  2 H 1.75-1.76
H 0.0745 0.5021 0.7039  2 Mn 1.69-1.70
H 0.2837 0.7500 0.2420  1 Mn 1.70, 1 Cu 1.75
H 0.3955 0.7500 0.6435  1 Mn 1.62, 1 Cu 1.76

=====

(3)
A relaxed Mn2NbCuH crystal. Source: Alexandria, functional PBE-GGA.

Output
- VASP energy: -35.6 eV/cell
- Polymorph energy (0 for the lowest one): 0.000 eV per atom

Lattice parameters (Å, degrees): 3.9260 3.9260 3.5661 90.00 90.00 90.00
Closest atoms and distances in Å follow each position.
Space group P4/mmm (No. 123)
One atom of each set of equivalent atoms:
Mn 0.0000 0.5000 0.0000  2 H 1.96
Nb 0.0000 0.0000 0.5000  8 Mn 2.65, 4 Cu 2.78
Cu 0.5000 0.5000 0.5000  2 H 1.78
H 0.5000 0.5000 0.0000  2 Cu 1.78, 4 Mn 1.96

=====

(4)
A relaxed MnNb2CuH crystal. Source: Alexandria, functional PBE-GGA.

Output
- VASP energy: -36.6 eV/cell
- Polymorph energy (0 for the lowest one): 0.000 eV per atom

Lattice parameters (Å, degrees): 4.1620 4.1620 3.6129 90.00 90.00 90.00
Closest atoms and distances in Å follow each position.
Space group P4/mmm (No. 123)
One atom of each set of equivalent atoms:
Mn 0.0000 0.0000 0.0000  2 H 1.81
Nb 0.0000 0.5000 0.5000  2 H 2.08
Cu 0.5000 0.5000 0.0000  8 Nb 2.76, 4 Mn 2.94
H 0.0000 0.0000 0.5000  2 Mn 1.81

=====

(5)
A relaxed MnNb2CuH crystal. Source: Alexandria, functional PBE-GGA.

Output
- VASP energy: -36.4 eV/cell
- Polymorph energy (0 for the lowest one): 0.041 eV per atom

Lattice parameters (Å, degrees): 4.1357 4.1357 3.6803 90.00 90.00 90.00
Closest atoms and distances in Å follow each position.
Space group P4/mmm (No. 123)
One atom of each set of equivalent atoms:
Mn 0.0000 0.0000 0.0000  8 Nb 2.77, 4 Cu 2.92
Nb 0.0000 0.5000 0.5000  2 H 2.07
Cu 0.5000 0.5000 0.0000  2 H 1.84
H 0.5000 0.5000 0.5000  2 Cu 1.84

=====

(6)
A relaxed Mn2NbCuH crystal. Source: Alexandria, functional PBE-GGA.

Output
- VASP energy: -35.5 eV/cell
- Polymorph energy (0 for the lowest one): 0.011 eV per atom

Lattice parameters (Å, degrees): 3.7817 3.7817 3.8912 90.00 90.00 90.00
Closest atoms and distances in Å follow each position.
Space group P4/mmm (No. 123)
One atom of each set of equivalent atoms:
Mn 0.0000 0.5000 0.0000  2 H 1.89
Nb 0.0000 0.0000 0.5000  2 H 1.95
Cu 0.5000 0.5000 0.5000  4 Nb 2.67, 8 Mn 2.71
H 0.0000 0.0000 0.0000  4 Mn 1.89, 2 Nb 1.95

=====

Please write out number 6 again, unchanged.
A relaxed Mn2NbCuH crystal. Source: Alexandria, functional PBE-GGA.

Output
- VASP energy: -35.5 eV/cell
- Polymorph energy (0 for the lowest one): 0.011 eV per atom

Lattice parameters (Å, degrees): 3.7817 3.7817 3.8912 90.00 90.00 90.00
Closest atoms and distances in Å follow each position.
Space group P4/mmm (No. 123)
One atom of each set of equivalent atoms:
Mn 0.0000 0.5000 0.0000  2 H 1.89
Nb 0.0000 0.0000 0.5000  2 H 1.95
Cu 0.5000 0.5000 0.5000  4 Nb 2.67, 8 Mn 2.71
H 0.0000 0.0000 0.0000  4 Mn 1.89, 2 Nb 1.95

=====

- What is the formula in the sixth record?
  Mn2NbCuH

=====

- Which value of VASP energy does entry 5 give?
  -36.4 eV/cell